# LiOs3Cl | the Alexandria database | PBE | optimized geometry
data_LiOs3Cl
_chemical_formula_sum 'Li1 Os3 Cl1'
_symmetry_space_group_name_H-M 'P 1'
_symmetry_Int_Tables_number 1
_cell_length_a 4.3470
_cell_length_b 4.3470
_cell_length_c 4.3470
_cell_angle_alpha 90.00
_cell_angle_beta 90.00
_cell_angle_gamma 90.00
loop_
_symmetry_equiv_pos_as_xyz
'x,y,z'
loop_
_atom_site_label
_atom_site_type_symbol
_atom_site_fract_x
_atom_site_fract_y
_atom_site_fract_z
Li1 Li 0.0000 0.0000 0.0000
Os1 Os 0.0000 0.5000 0.5000
Os2 Os 0.5000 0.0000 0.5000
Os3 Os 0.5000 0.5000 0.0000
Cl1 Cl 0.5000 0.5000 0.5000
# Theoretical density in g/cm³: 12.394
# V in Å³ per cell: 82
# DOS(E_F) in states/eV/cell: 6.36
# E_form (uncorrected) in eV per atom: 1.78
# Crystal system: cubic
# Space-group type: Pm-3m